Record 1
Entry from Alexandria: a relaxed Ce2CrAs4Ir3 crystal (PBE).

```
data_Ce2CrAs4Ir3
_symmetry_space_group_name_H-M 'P -4 m 2'
_symmetry_Int_Tables_number 115
_symmetry_space_group_name_Hall 'P -4 -2'
_cell_length_a 4.2892
_cell_length_b 4.2892
_cell_length_c 10.0878
_cell_angle_alpha 90.00
_cell_angle_beta 90.00
_cell_angle_gamma 90.00
loop_
_atom_site_label
_atom_site_type_symbol
_atom_site_fract_x
_atom_site_fract_y
_atom_site_fract_z
Ce1 Ce 0.0000 0.5000 0.2435
Cr1 Cr 0.0000 0.0000 0.5000
As1 As 0.0000 0.0000 0.0000
As2 As 0.0000 0.5000 0.6355
As3 As 0.5000 0.5000 0.0000
Ir1 Ir 0.0000 0.5000 0.8788
Ir2 Ir 0.5000 0.5000 0.5000
```

Computed properties:
- Crystal system: tetragonal



Record 2
Entry from Alexandria: a relaxed SrMn4N4 crystal (PBE).

```
data_SrMn4N4
_symmetry_space_group_name_H-M 'F m -3'
_symmetry_Int_Tables_number 202
_symmetry_space_group_name_Hall '-F 2 2 3'
_cell_length_a 10.5308
_cell_length_b 10.5308
_cell_length_c 10.5308
_cell_angle_alpha 90.00
_cell_angle_beta 90.00
_cell_angle_gamma 90.00
loop_
_atom_site_label
_atom_site_type_symbol
_atom_site_fract_x
_atom_site_fract_y
_atom_site_fract_z
Sr1 Sr 0.0000 0.0000 0.0000
Sr2 Sr 0.2500 0.2500 0.2500
Mn1 Mn 0.0000 0.2254 0.3772
N1 N 0.0000 0.1252 0.2299
```

Computed properties:
- Uncorrected formation energy: -327 meV/atom
- Crystal system: cubic



Number 1: electronic total energy -73.90 eV per cell, calculated density 10814 kg/m³, total magnetization 3.538 μB per formula unit. Number 2: electronic total energy -895.21 eV per cell, calculated density 6200 kg/m³, total magnetization 0.821 μB per formula unit.